Record 1
Entry from the Alexandria database: crystalline Ce2GeRuAu at its relaxed geometry (PBE).

total moment: 0.65 μB per formula unit
formation energy from the elements: -0.550 eV/atom
V: 22.829 A^3/atom
density of states at the Fermi level: 1.582 states/eV per atom

a = 4.3405 Å, b = 7.0904 Å, c = 7.8517 Å
α = 109.13°, β = 90.00°, γ = 90.00°
Last column: nearest neighbours and their distance in Å.
Fractional coordinates of all 10 atoms:
Au 0.2500 0.6925 0.3257  2 Ge 2.71
Au 0.7500 0.3075 0.6743  2 Ge 2.71
Ce 0.2500 0.1597 0.3708  2 Ru 2.98, 3 Ge 3.09-3.19, 3 Au 3.14-3.21
Ce 0.7500 0.7300 0.0507  1 Ru 2.56
Ce 0.7500 0.8403 0.6292  2 Ru 2.98, 3 Ge 3.09-3.19, 3 Au 3.14-3.21
Ce 0.2500 0.2700 0.9493  1 Ru 2.56
Ge 0.7500 0.4551 0.2985  1 Ru 2.47, 2 Au 2.71
Ge 0.2500 0.5449 0.7015  1 Ru 2.47, 2 Au 2.71
Ru 0.2500 0.8951 0.9017  1 Ge 2.47, 1 Ce 2.56
Ru 0.7500 0.1049 0.0983  1 Ge 2.47, 1 Ce 2.56

=====

Record 2
Entry from the Alexandria database: crystalline Na4Sr5Ni at its relaxed geometry (PBE).

total moment: 0.00 μB per formula unit
formation energy from the elements: 0.010 eV/atom
V: 44.124 A^3/atom
density of states at the Fermi level: 0.601 states/eV per atom

a = 5.8495 Å, b = 9.1644 Å, c = 9.1644 Å
α = 84.15°, β = 71.39°, γ = 71.39°
Last column: nearest neighbours and their distance in Å.
Fractional coordinates of all 10 atoms:
Sr 0.1657 0.0000 0.6665  1 Ni 2.90
Sr 0.4990 0.0000 0.0000  2 Ni 2.92-2.93
Sr 0.1657 0.6665 0.0000  1 Ni 2.90
Sr 0.8322 0.0000 0.3335  1 Ni 2.90
Sr 0.8322 0.3335 0.0000  1 Ni 2.90
Na 0.4990 0.3442 0.6558  5 Na 3.83-3.98, 7 Sr 4.10-4.23
Na 0.1548 0.3442 0.3442  5 Na 3.83-3.98, 7 Sr 4.10-4.23
Na 0.4989 0.6558 0.3442  5 Na 3.83-3.98, 7 Sr 4.10-4.23
Na 0.8431 0.6558 0.6558  5 Na 3.83-3.98, 7 Sr 4.10-4.23
Ni 0.9991 0.0000 0.0000  6 Sr 2.90-2.93

=====

Record 3
Entry from the Alexandria database: crystalline Pr4NdIn2 at its relaxed geometry (PBE).

total moment: 0.00 μB per formula unit
formation energy from the elements: 0.062 eV/atom
V: 33.903 A^3/atom
density of states at the Fermi level: 1.474 states/eV per atom
energy above the most stable polymorph in this dataset: 311 meV per atom

a = 6.0741 Å, b = 6.0741 Å, c = 7.7346 Å
α = 113.12°, β = 113.12°, γ = 90.00°
Last column: nearest neighbours and their distance in Å.
Fractional coordinates of all 7 atoms:
Nd 0.0000 0.0000 0.0000  4 Pr 3.04
Pr 0.0000 0.5000 0.0000  2 Nd 3.04, 2 Pr 3.22
Pr 0.5000 0.0000 0.0000  2 Nd 3.04, 2 Pr 3.22
Pr 0.2500 0.7500 0.5000  2 Pr 3.22, 4 In 3.44
Pr 0.7500 0.2500 0.5000  2 Pr 3.22, 4 In 3.44
In 0.3759 0.3759 0.7518  1 In 3.19, 8 Pr 3.43-3.44
In 0.6241 0.6241 0.2482  1 In 3.19, 8 Pr 3.43-3.44

=====

Record 4
Entry from the Alexandria database: crystalline YEr8In6 at its relaxed geometry (PBE).

total moment: 0.00 μB per formula unit
formation energy from the elements: -0.203 eV/atom
V: 29.977 A^3/atom
density of states at the Fermi level: 1.344 states/eV per atom

a = 8.9674 Å, b = 8.9674 Å, c = 8.2762 Å
α = 57.20°, β = 57.20°, γ = 60.00°
Last column: nearest neighbours and their distance in Å.
Fractional coordinates of all 15 atoms:
Er 0.8876 0.5525 0.3387  5 In 3.10-3.35
Er 0.7788 0.1124 0.6613  5 In 3.10-3.35
Er 0.4475 0.7788 0.6613  5 In 3.10-3.35
Er 0.3336 0.3336 0.9993  6 In 3.20-3.21
Er 0.2212 0.8876 0.3387  5 In 3.10-3.35
Er 0.5525 0.2212 0.3387  5 In 3.10-3.35
Er 0.6664 0.6664 0.0007  6 In 3.20-3.21
Er 0.1124 0.4475 0.6613  5 In 3.10-3.35
In 0.7261 0.3942 0.8192  7 Er 3.10-3.35, 1 Y 3.21
In 0.2739 0.6058 0.1808  7 Er 3.10-3.35, 1 Y 3.21
In 0.3942 0.0604 0.8192  7 Er 3.10-3.35, 1 Y 3.21
In 0.6058 0.9396 0.1808  7 Er 3.10-3.35, 1 Y 3.21
In 0.0604 0.7261 0.8192  7 Er 3.10-3.35, 1 Y 3.21
In 0.9396 0.2739 0.1808  7 Er 3.10-3.35, 1 Y 3.21
Y 0.0000 0.0000 0.0000  6 In 3.21

=====

Record 5
Entry from the Alexandria database: crystalline Cs2AcNdO4 at its relaxed geometry (PBE).

total moment: 0.00 μB per formula unit
V: 21.957 A^3/atom
density of states at the Fermi level: 0.000 states/eV per atom
formation energy (no corrections): -2.495 eV/atom

a = 3.8080 Å, b = 6.6044 Å, c = 7.3233 Å
α = 107.50°, β = 90.00°, γ = 90.00°
Last column: nearest neighbours and their distance in Å.
Fractional coordinates of all 8 atoms:
O 0.0000 0.7150 0.1709  2 Nd 2.48, 1 Ac 2.55
O 0.5000 0.2351 0.1723  1 Nd 2.45, 2 Ac 2.54
O 0.5000 0.7649 0.8277  1 Nd 2.45, 2 Ac 2.54
O 0.0000 0.2850 0.8291  2 Nd 2.48, 1 Ac 2.55
Nd 0.5000 0.5000 0.0000  6 O 2.45-2.48
Cs 0.0000 0.5000 0.5000  6 O 3.14-3.15
Cs 0.5000 0.0000 0.5000  6 O 3.20-3.23
Ac 0.0000 0.0000 0.0000  6 O 2.54-2.55

=====

Record 6
Entry from the Alexandria database: crystalline KHg2W at its relaxed geometry (PBE).

total moment: 3.37 μB per formula unit
formation energy from the elements: 1.305 eV/atom
V: 24.287 A^3/atom
density of states at the Fermi level: 0.596 states/eV per atom
energy above the most stable polymorph in this dataset: 617 meV per atom

a = 5.1600 Å, b = 5.1600 Å, c = 5.1600 Å
α = 60.00°, β = 60.00°, γ = 60.00°
Last column: nearest neighbours and their distance in Å.
Fractional coordinates of all 4 atoms:
W 0.7500 0.7500 0.7500  4 Hg 3.16, 4 K 3.16
K 0.5000 0.5000 0.5000  4 Hg 3.16, 4 W 3.16
Hg 0.2500 0.2500 0.2500  4 Hg 3.16, 4 K 3.16
Hg 0.0000 0.0000 0.0000  4 W 3.16, 4 Hg 3.16

=====

Record 7
Entry from the Alexandria database: crystalline BaLa2Mo at its relaxed geometry (PBE).

total moment: 0.00 μB per formula unit
formation energy from the elements: 0.496 eV/atom
V: 34.851 A^3/atom
density of states at the Fermi level: 1.269 states/eV per atom
energy above the most stable polymorph in this dataset: 143 meV per atom

a = 11.3092 Å, b = 11.3092 Å, c = 11.3092 Å
α = 19.39°, β = 19.39°, γ = 19.39°
Last column: nearest neighbours and their distance in Å.
Fractional coordinates of all 4 atoms:
La 0.5224 0.5224 0.5224  3 Mo 2.99
La 0.9776 0.9776 0.9776  3 Mo 2.99
Ba 0.7500 0.7500 0.7500  6 Ba 3.81, 6 La 4.15
Mo 0.2500 0.2500 0.2500  6 La 2.99

=====

Record 8
Entry from the Alexandria database: crystalline SmY2HgO at its relaxed geometry (PBE).

total moment: 0.00 μB per formula unit
V: 22.350 A^3/atom
density of states at the Fermi level: 0.473 states/eV per atom
formation energy (no corrections): -1.382 eV/atom

a = 4.8757 Å, b = 4.7874 Å, c = 4.7874 Å
α = 90.00°, β = 90.00°, γ = 90.00°
Last column: nearest neighbours and their distance in Å.
Fractional coordinates of all 5 atoms:
Hg 0.5000 0.5000 0.5000  4 Sm 3.39, 8 Y 3.42
Y 0.0000 0.5000 0.0000  2 O 2.39
Y 0.0000 0.0000 0.5000  2 O 2.39
Sm 0.5000 0.0000 0.0000  2 O 2.44
O 0.0000 0.0000 0.0000  4 Y 2.39, 2 Sm 2.44

=====

Record 9
Entry from the Alexandria database: crystalline Cd2GaHg2Pb at its relaxed geometry (PBE).

total moment: 0.00 μB per formula unit
formation energy from the elements: 0.061 eV/atom
V: 25.401 A^3/atom
density of states at the Fermi level: 0.412 states/eV per atom

a = 3.6500 Å, b = 3.6500 Å, c = 13.3760 Å
α = 82.16°, β = 82.16°, γ = 60.00°
Last column: nearest neighbours and their distance in Å.
Fractional coordinates of all 6 atoms:
Cd 0.2295 0.2295 0.3116  3 Hg 3.01, 3 Pb 3.26
Cd 0.7705 0.7705 0.6884  3 Hg 3.01, 3 Pb 3.26
Hg 0.6172 0.6172 0.1484  3 Ga 2.88, 3 Cd 3.01
Hg 0.3828 0.3828 0.8516  3 Ga 2.88, 3 Cd 3.01
Pb 0.5000 0.5000 0.5000  6 Cd 3.26, 6 Pb 3.65
Ga 0.0000 0.0000 0.0000  6 Hg 2.88

=====

Record 10
Entry from the Alexandria database: crystalline Tb2ScPb at its relaxed geometry (PBE).

total moment: 0.00 μB per formula unit
formation energy from the elements: 0.055 eV/atom
V: 30.761 A^3/atom
density of states at the Fermi level: 0.963 states/eV per atom
energy above the most stable polymorph in this dataset: 326 meV per atom

a = 3.4781 Å, b = 3.4781 Å, c = 11.9153 Å
α = 81.61°, β = 81.61°, γ = 60.00°
Last column: nearest neighbours and their distance in Å.
Fractional coordinates of all 4 atoms:
Tb 0.0908 0.0908 0.7277  1 Pb 3.20, 3 Sc 3.34, 6 Tb 3.48
Tb 0.9092 0.9092 0.2723  1 Pb 3.20, 3 Sc 3.34, 6 Tb 3.48
Pb 0.0000 0.0000 0.0000  2 Tb 3.20, 6 Pb 3.48
Sc 0.5000 0.5000 0.5000  6 Tb 3.34, 6 Sc 3.48

=====

Record 11
Entry from the Alexandria database: crystalline Pm6HgTe3As2 at its relaxed geometry (PBE).

total moment: 0.00 μB per formula unit
V: 29.861 A^3/atom
density of states at the Fermi level: 0.502 states/eV per atom
formation energy (no corrections): -1.324 eV/atom

a = 4.3237 Å, b = 8.9033 Å, c = 9.8250 Å
α = 103.43°, β = 102.71°, γ = 90.00°
Last column: nearest neighbours and their distance in Å.
Fractional coordinates of all 12 atoms:
Pm 0.3269 0.4320 0.6538  3 As 2.96-2.98, 3 Te 3.22-3.23
Pm 0.3335 0.8964 0.6670  2 As 2.99, 1 Hg 3.10, 3 Te 3.13-3.24
Pm 0.0076 0.2515 0.0152  1 As 2.99, 2 Hg 3.09, 3 Te 3.12-3.23
Pm 0.6731 0.5680 0.3462  3 As 2.96-2.98, 3 Te 3.22-3.23
Pm 0.6665 0.1036 0.3330  2 As 2.99, 1 Hg 3.10, 3 Te 3.13-3.24
Pm 0.9924 0.7485 0.9848  1 As 2.99, 2 Hg 3.09, 3 Te 3.12-3.23
Te 0.8343 0.1677 0.6687  6 Pm 3.13-3.24
Te 0.1657 0.8323 0.3313  6 Pm 3.13-3.24
Te 0.5000 0.5000 0.0000  6 Pm 3.12-3.23
As 0.8319 0.6640 0.6638  6 Pm 2.96-2.99
As 0.1681 0.3360 0.3362  6 Pm 2.96-2.99
Hg 0.5000 0.0000 0.0000  6 Pm 3.09-3.10

=====

Record 12
Entry from the Alexandria database: crystalline Ta2CrHOs at its relaxed geometry (PBE).

total moment: 0.14 μB per formula unit
V: 13.187 A^3/atom
density of states at the Fermi level: 0.645 states/eV per atom
energy above the most stable polymorph in this dataset: 124 meV per atom

a = 4.3440 Å, b = 4.3440 Å, c = 3.4942 Å
α = 90.00°, β = 90.00°, γ = 90.00°
Last column: nearest neighbours and their distance in Å.
Fractional coordinates of all 5 atoms:
Ta 0.0000 0.5000 0.0000  2 H 2.17
Ta 0.5000 0.0000 0.0000  2 H 2.17
Os 0.0000 0.0000 0.5000  2 H 1.75
Cr 0.5000 0.5000 0.5000  8 Ta 2.79, 4 Os 3.07
H 0.0000 0.0000 0.0000  2 Os 1.75

=====

> Which value of density of states at the Fermi level does entry 1 give?

1.582 states/eV per atom